No. 1
Ta2Mo2W3 GGA-PBE relaxed; energy above the lowest structure with this stoichiometry = 0.0 kJ/mol of formula units; crystal system = trigonal
1.0
2.265 1.307 6.504
-2.265 1.307 6.504
0.000 -2.615 6.504
Ta Mo W
2 2 3
Direct
0.073 0.073 0.073 Ta
0.927 0.927 0.927 Ta
0.215 0.215 0.215 Mo
0.785 0.785 0.785 Mo
0.356 0.356 0.356 W
0.500 0.500 0.500 W
0.644 0.644 0.644 W

=====

No. 2
TlFe2Hg GGA-PBE relaxed; energy above the lowest structure with this stoichiometry = 78.5 kJ/mol of formula units; crystal system = monoclinic
1.0
2.940 0.000 0.000
0.000 4.057 0.000
-0.037 0.000 5.961
Tl Fe Hg
1 2 1
Direct
0.000 0.000 0.000 Tl
0.499 0.500 0.720 Fe
0.501 0.500 0.280 Fe
0.000 0.000 0.500 Hg

=====

No. 3
PmAg5 GGA-PBE relaxed; crystal system = orthorhombic; E_tot = -0.238 Ry per atom
1.0
2.562 -4.756 0.000
2.562 4.756 0.000
0.000 0.000 5.074
Pm Ag
1 5
Direct
0.000 0.000 0.000 Pm
0.184 0.816 0.500 Ag
0.331 0.669 0.000 Ag
0.500 0.500 0.500 Ag
0.669 0.331 0.000 Ag
0.816 0.184 0.500 Ag

=====

No. 4
La3Mg GGA-PBE relaxed; crystal system = orthorhombic; E_tot = -0.302 Ry per atom
1.0
3.678 0.000 0.000
0.000 5.014 0.000
0.000 0.000 7.266
La Mg
3 1
Direct
0.000 0.000 0.000 La
0.500 0.500 0.263 La
0.500 0.500 0.737 La
0.000 0.000 0.500 Mg

=====

No. 5
ZnCr2Rh GGA-PBE relaxed; crystal system = trigonal; E_tot = -0.499 Ry per atom
1.0
1.320 0.762 8.629
-1.320 0.762 8.629
0.000 -1.525 8.629
Zn Cr Rh
1 2 1
Direct
0.000 0.000 0.000 Zn
0.248 0.248 0.248 Cr
0.752 0.752 0.752 Cr
0.500 0.500 0.500 Rh

=====

No. 6
Pm3SbH2 GGA-PBE relaxed; crystal system = monoclinic; E_tot = -0.352 Ry per atom
1.0
11.256 -2.054 0.000
11.256 2.054 0.000
-1.583 0.000 6.125
Pm Sb H
6 2 4
Direct
0.042 0.042 0.283 Pm
0.230 0.230 0.216 Pm
0.399 0.399 0.150 Pm
0.601 0.601 0.850 Pm
0.770 0.770 0.784 Pm
0.958 0.958 0.717 Pm
0.350 0.350 0.596 Sb
0.650 0.650 0.404 Sb
0.059 0.059 0.928 H
0.291 0.291 0.980 H
0.709 0.709 0.020 H
0.941 0.941 0.072 H

=====

No. 7
ScPa2Se8 GGA-PBE relaxed; crystal system = trigonal; formation energy (no corrections) = -0.780 eV/atom
1.0
8.535 0.000 0.000
-4.267 7.391 0.000
0.000 0.000 5.427
Sc Pa Se
1 2 8
Direct
0.000 0.000 0.000 Sc
0.333 0.667 0.268 Pa
0.667 0.333 0.732 Pa
0.150 0.300 0.277 Se
0.150 0.850 0.277 Se
0.300 0.150 0.723 Se
0.333 0.667 0.768 Se
0.667 0.333 0.232 Se
0.700 0.850 0.277 Se
0.850 0.150 0.723 Se
0.850 0.700 0.723 Se

=====

No. 8
Ho2ZnRu2 GGA-PBE relaxed; crystal system = monoclinic; E_tot = -0.451 Ry per atom
1.0
4.811 -2.710 0.000
4.811 2.710 0.000
-2.142 0.000 7.653
Ho Zn Ru
4 2 4
Direct
0.002 0.703 0.852 Ho
0.297 0.998 0.648 Ho
0.703 0.002 0.352 Ho
0.998 0.297 0.148 Ho
0.354 0.646 0.250 Zn
0.646 0.354 0.750 Zn
0.218 0.509 0.493 Ru
0.491 0.782 0.007 Ru
0.509 0.218 0.993 Ru
0.782 0.491 0.507 Ru